# La4CdPt | the Alexandria database | PBE | relaxed
# excess energy over the best structure of this formula in the dataset	4.94	eV/f.u.
# total moment	0.03	μB/cell
# DOS at the Fermi energy	38.9	states/eV/cell
data_La4CdPt
_cell_length_a 8.942
_cell_length_b 8.942
_cell_length_c 8.942
_cell_angle_alpha 90.00
_cell_angle_beta 90.00
_cell_angle_gamma 90.00
_symmetry_space_group_name_H-M 'F -4 3 m'
_symmetry_Int_Tables_number 216
_symmetry_space_group_name_Hall 'F -4 2 3'
loop_
_atom_site_label
_atom_site_type_symbol
_atom_site_fract_x
_atom_site_fract_y
_atom_site_fract_z
La1 La 0.124 0.124 0.124
Cd1 Cd 0.000 0.000 0.500
Pt1 Pt 0.250 0.250 0.750



# La6CdPt4 | the Alexandria database | PBE | relaxed
# total moment	0.00	μB/cell
# DOS at the Fermi energy	30.0	states/eV/cell
data_La6CdPt4
_cell_length_a 4.250
_cell_length_b 14.326
_cell_length_c 21.875
_cell_angle_alpha 90.00
_cell_angle_beta 90.00
_cell_angle_gamma 90.00
_symmetry_space_group_name_H-M 'C m c m'
_symmetry_Int_Tables_number 63
_symmetry_space_group_name_Hall '-C 2c 2'
loop_
_atom_site_label
_atom_site_type_symbol
_atom_site_fract_x
_atom_site_fract_y
_atom_site_fract_z
La1 La 0.000 0.000 0.000
La2 La 0.000 0.165 0.250
La3 La 0.000 0.269 0.584
La4 La 0.000 0.461 0.156
Cd1 Cd 0.000 0.157 0.750
Pt1 Pt 0.000 0.095 0.125
Pt2 Pt 0.000 0.363 0.041



# LaCd3Pt | the Alexandria database | PBE | relaxed
# excess energy over the best structure of this formula in the dataset	1.65	eV/f.u.
# total moment	0.00	μB/cell
# DOS at the Fermi energy	6.3	states/eV/cell
data_LaCd3Pt
_cell_length_a 5.171
_cell_length_b 5.171
_cell_length_c 5.171
_cell_angle_alpha 90.00
_cell_angle_beta 90.00
_cell_angle_gamma 90.00
_symmetry_space_group_name_H-M 'P m -3 m'
_symmetry_Int_Tables_number 221
_symmetry_space_group_name_Hall '-P 4 2 3'
loop_
_atom_site_label
_atom_site_type_symbol
_atom_site_fract_x
_atom_site_fract_y
_atom_site_fract_z
La1 La 0.000 0.000 0.000
Cd1 Cd 0.000 0.500 0.500
Pt1 Pt 0.500 0.500 0.500



# LaCd4Pt | the Alexandria database | PBE | relaxed
# total moment	0.00	μB/cell
# DOS at the Fermi energy	19.8	states/eV/cell
data_LaCd4Pt
_cell_length_a 8.176
_cell_length_b 8.176
_cell_length_c 8.176
_cell_angle_alpha 90.00
_cell_angle_beta 90.00
_cell_angle_gamma 90.00
_symmetry_space_group_name_H-M 'F -4 3 m'
_symmetry_Int_Tables_number 216
_symmetry_space_group_name_Hall 'F -4 2 3'
loop_
_atom_site_label
_atom_site_type_symbol
_atom_site_fract_x
_atom_site_fract_y
_atom_site_fract_z
La1 La 0.000 0.000 0.000
Cd1 Cd 0.124 0.124 0.376
Pt1 Pt 0.250 0.250 0.750



Number 1: DFT formation energy 0.26 eV per atom. Number 2: DFT formation energy -0.92 eV per atom. Number 3: DFT formation energy -0.20 eV per atom. Number 4: DFT formation energy -0.18 eV per atom.